A plane-wave DFT calculation with PBE was carried out for V2Te6Pd after structural relaxation.

The density of states at the Fermi level comes out at 12.37 states/eV/cell. The uncorrected formation energy comes out at -0.31 eV/atom. The raw total energy comes out at -5.01 eV per atom. The value obtained for the magnetic moment is 0.8 μB per formula unit. The excess energy over the best structure of this formula in the dataset is 0 meV per atom.

Cell lengths 14.2538, 3.6723, 9.0305 Å; angles 90.00, 103.44, 90.00 degrees
Space group C2/m (No. 12)
Inequivalent atoms, fractional coordinates:
V 0.1939 0.0000 0.3734 x4
Te 0.0472 0.5000 0.3107 x4
Te 0.1451 0.0000 0.0620 x4
Te 0.1747 0.0000 0.6576 x4
Pd 0.0000 0.5000 0.0000 x2